Compound: Ba2AlV3O7
Source: Alexandria via LeMat-Bulk
Functional: PBE with a Hubbard U
Structure: relaxed

Lattice parameters (Å, degrees): 3.7616 4.0769 11.5122 90.00 90.00 90.00
With the nearest neighbours (Å) after each atom.
Fractional coordinates of all 13 atoms:
Al: 0.0000 0.5000 0.0000  8 O 2.27-2.38
O: 0.0000 0.0000 0.8941  2 V 1.94
O: 0.5000 0.0000 0.3212  2 V 1.99-2.06
O: 0.5000 0.5000 0.8890  2 V 2.08, 2 Al 2.27
O: 0.5000 0.0000 0.6788  2 V 1.99-2.06
O: 0.0000 0.0000 0.1059  2 V 1.94
O: 0.5000 0.5000 0.5000  2 V 2.04
O: 0.5000 0.5000 0.1110  2 V 2.08, 2 Al 2.27
V: 0.5000 0.0000 0.1486  5 O 1.94-2.08
V: 0.5000 0.0000 0.8514  5 O 1.94-2.08
V: 0.5000 0.0000 0.5000  4 O 2.04-2.06
Ba: 0.0000 0.5000 0.3230  8 O 2.77-3.08
Ba: 0.0000 0.5000 0.6770  8 O 2.77-3.08

Results
For the density of states at the Fermi level, the calculation gives 1.2 states/eV per cell. For the raw total energy, the calculation gives -6.93 eV per atom. Its total magnetization is 6.93 μB per formula unit. As for the space group: No. 47.